<one>
# SrPPd3, optimized geometry, DFT PBE-GGA
data_SrPPd3
_chemical_formula_sum 'Sr2 P2 Pd6'
_cell_length_a 4.4578
_cell_length_b 6.6047
_cell_length_c 6.6050
_cell_angle_alpha 84.73
_cell_angle_beta 90.40
_cell_angle_gamma 90.39
_space_group_name_H-M_alt 'P 1'
_space_group_IT_number 1
_space_group_name_Hall 'P 1'
loop_
_atom_site_label
_atom_site_type_symbol
_atom_site_fract_x
_atom_site_fract_y
_atom_site_fract_z
Pd1 Pd 0.0332 0.7502 0.9147
Pd2 Pd 0.5981 0.4737 0.1963
Pd3 Pd 0.0333 0.1924 0.4725
Pd4 Pd 0.5437 0.4035 0.6274
Pd5 Pd 0.5436 0.9048 0.1259
Pd6 Pd 0.5257 0.9725 0.6950
P1 P 0.5308 0.1447 0.3609
P2 P 0.5308 0.6384 0.8673
Sr1 Sr 0.0519 0.2334 0.9557
Sr2 Sr 0.0586 0.7129 0.4353
# - space-group type = No. 8
# - N(E_F) (states/eV/cell) = 3.1



<two>
# SrPPd3, optimized geometry, DFT PBE-GGA
data_SrPPd3
_chemical_formula_sum 'Sr4 P4 Pd12'
_cell_length_a 21.9138
_cell_length_b 6.4622
_cell_length_c 7.5371
_cell_angle_alpha 90.00
_cell_angle_beta 158.32
_cell_angle_gamma 90.00
_space_group_name_H-M_alt 'P 1'
_space_group_IT_number 1
_space_group_name_Hall 'P 1'
loop_
_atom_site_label
_atom_site_type_symbol
_atom_site_fract_x
_atom_site_fract_y
_atom_site_fract_z
Sr1 Sr 0.7211 0.4188 0.5138
Sr2 Sr 0.2211 0.0812 0.0138
Sr3 Sr 0.7789 0.9188 0.9862
Sr4 Sr 0.2789 0.5812 0.4862
Pd1 Pd 0.4536 0.1461 0.9946
Pd2 Pd 0.3885 0.8721 0.1104
Pd3 Pd 0.1115 0.3721 0.3896
Pd4 Pd 0.5464 0.8539 0.0054
Pd5 Pd 0.6198 0.4714 0.6838
Pd6 Pd 0.3802 0.5286 0.3162
Pd7 Pd 0.1198 0.0286 0.1838
Pd8 Pd 0.8885 0.6279 0.6104
Pd9 Pd 0.9536 0.3539 0.4946
Pd10 Pd 0.0464 0.6461 0.5054
Pd11 Pd 0.6115 0.1279 0.8896
Pd12 Pd 0.8802 0.9714 0.8162
P1 P 0.3891 0.2516 0.1058
P2 P 0.1109 0.7516 0.3942
P3 P 0.6109 0.7484 0.8942
P4 P 0.8891 0.2484 0.6058
# - space-group type = No. 14
# - N(E_F) (states/eV/cell) = 8.2



<three>
# SrPPd3, optimized geometry, DFT PBE-GGA
data_SrPPd3
_chemical_formula_sum 'Sr1 P1 Pd3'
_cell_length_a 3.8887
_cell_length_b 3.8887
_cell_length_c 7.2954
_cell_angle_alpha 90.00
_cell_angle_beta 90.00
_cell_angle_gamma 90.00
_space_group_name_H-M_alt 'P 1'
_space_group_IT_number 1
_space_group_name_Hall 'P 1'
loop_
_atom_site_label
_atom_site_type_symbol
_atom_site_fract_x
_atom_site_fract_y
_atom_site_fract_z
Pd1 Pd 0.5000 0.0000 0.4206
Pd2 Pd 0.0000 0.5000 0.4206
Pd3 Pd 0.0000 0.0000 0.7038
P1 P 0.5000 0.5000 0.6257
Sr1 Sr 0.0000 0.0000 0.0930
# - space-group type = No. 99
# - N(E_F) (states/eV/cell) = 2.9



Least stable = <three>



<one>
# SrPPd3, optimized geometry, DFT PBE-GGA
data_SrPPd3
_chemical_formula_sum 'Sr1 P1 Pd3'
_cell_length_a 4.4403
_cell_length_b 4.4403
_cell_length_c 4.9068
_cell_angle_alpha 90.00
_cell_angle_beta 90.00
_cell_angle_gamma 90.00
_space_group_name_H-M_alt 'P 1'
_space_group_IT_number 1
_space_group_name_Hall 'P 1'
loop_
_atom_site_label
_atom_site_type_symbol
_atom_site_fract_x
_atom_site_fract_y
_atom_site_fract_z
Pd1 Pd 0.0000 0.5000 0.3145
Pd2 Pd 0.5000 0.0000 0.3145
Pd3 Pd 0.0000 0.0000 0.6745
P1 P 0.0000 0.0000 0.1444
Sr1 Sr 0.5000 0.5000 0.8159
# - space-group type = No. 99
# - N(E_F) (states/eV/cell) = 2.3



<two>
# SrPPd3, optimized geometry, DFT PBE-GGA
data_SrPPd3
_chemical_formula_sum 'Sr1 P1 Pd3'
_cell_length_a 4.4385
_cell_length_b 4.8175
_cell_length_c 4.8175
_cell_angle_alpha 105.08
_cell_angle_beta 90.00
_cell_angle_gamma 90.00
_space_group_name_H-M_alt 'P 1'
_space_group_IT_number 1
_space_group_name_Hall 'P 1'
loop_
_atom_site_label
_atom_site_type_symbol
_atom_site_fract_x
_atom_site_fract_y
_atom_site_fract_z
P1 P 0.5000 0.1556 0.8444
Sr1 Sr 0.0000 0.6369 0.3631
Pd1 Pd 0.5000 0.1438 0.3527
Pd2 Pd 0.5000 0.6473 0.8562
Pd3 Pd 0.0000 0.0444 0.9556
# - space-group type = No. 38
# - N(E_F) (states/eV/cell) = 1.9



<three>
# SrPPd3, optimized geometry, DFT PBE-GGA
data_SrPPd3
_chemical_formula_sum 'Sr4 P4 Pd12'
_cell_length_a 8.6301
_cell_length_b 8.6301
_cell_length_c 8.6301
_cell_angle_alpha 60.00
_cell_angle_beta 60.00
_cell_angle_gamma 60.00
_space_group_name_H-M_alt 'P 1'
_space_group_IT_number 1
_space_group_name_Hall 'P 1'
loop_
_atom_site_label
_atom_site_type_symbol
_atom_site_fract_x
_atom_site_fract_y
_atom_site_fract_z
Sr1 Sr 0.6250 0.1250 0.6250
Sr2 Sr 0.6250 0.6250 0.6250
Sr3 Sr 0.6250 0.6250 0.1250
Sr4 Sr 0.1250 0.6250 0.6250
Pd1 Pd 0.1902 0.1902 0.8098
Pd2 Pd 0.1902 0.8098 0.1902
Pd3 Pd 0.0598 0.4402 0.4402
Pd4 Pd 0.1902 0.8098 0.8098
Pd5 Pd 0.4402 0.0598 0.0598
Pd6 Pd 0.0598 0.4402 0.0598
Pd7 Pd 0.8098 0.1902 0.8098
Pd8 Pd 0.0598 0.0598 0.4402
Pd9 Pd 0.4402 0.4402 0.0598
Pd10 Pd 0.8098 0.1902 0.1902
Pd11 Pd 0.8098 0.8098 0.1902
Pd12 Pd 0.4402 0.0598 0.4402
P1 P 0.6250 0.1250 0.1250
P2 P 0.1250 0.1250 0.1250
P3 P 0.1250 0.1250 0.6250
P4 P 0.1250 0.6250 0.1250
# - space-group type = No. 227
# - N(E_F) (states/eV/cell) = 11.8



<four>
# SrPPd3, optimized geometry, DFT PBE-GGA
data_SrPPd3
_chemical_formula_sum 'Sr2 P2 Pd6'
_cell_length_a 4.7295
_cell_length_b 4.7295
_cell_length_c 9.5415
_cell_angle_alpha 90.00
_cell_angle_beta 90.00
_cell_angle_gamma 120.00
_space_group_name_H-M_alt 'P 1'
_space_group_IT_number 1
_space_group_name_Hall 'P 1'
loop_
_atom_site_label
_atom_site_type_symbol
_atom_site_fract_x
_atom_site_fract_y
_atom_site_fract_z
Pd1 Pd 0.6667 0.3333 0.9406
Pd2 Pd 0.3333 0.6667 0.0594
Pd3 Pd 0.0000 0.0000 0.7500
Pd4 Pd 0.0000 0.0000 0.2500
Pd5 Pd 0.3333 0.6667 0.4406
Pd6 Pd 0.6667 0.3333 0.5594
Sr1 Sr 0.3333 0.6667 0.7500
Sr2 Sr 0.6667 0.3333 0.2500
P1 P 0.0000 0.0000 0.5000
P2 P 0.0000 0.0000 0.0000
# - space-group type = No. 194
# - N(E_F) (states/eV/cell) = 5.5



Least stable = <four>



<one>
# SrPPd3, optimized geometry, DFT PBE-GGA
data_SrPPd3
_chemical_formula_sum 'Sr4 P4 Pd12'
_cell_length_a 18.2510
_cell_length_b 5.8484
_cell_length_c 7.0352
_cell_angle_alpha 90.00
_cell_angle_beta 149.04
_cell_angle_gamma 90.00
_space_group_name_H-M_alt 'P 1'
_space_group_IT_number 1
_space_group_name_Hall 'P 1'
loop_
_atom_site_label
_atom_site_type_symbol
_atom_site_fract_x
_atom_site_fract_y
_atom_site_fract_z
Pd1 Pd 0.8369 0.2534 0.7685
Pd2 Pd 0.2362 0.5170 0.7527
Pd3 Pd 0.2638 0.0170 0.7473
Pd4 Pd 0.6244 0.6219 0.2702
Pd5 Pd 0.3369 0.2466 0.2685
Pd6 Pd 0.7638 0.4830 0.2473
Pd7 Pd 0.6631 0.7534 0.7315
Pd8 Pd 0.3756 0.3781 0.7298
Pd9 Pd 0.8756 0.1219 0.2298
Pd10 Pd 0.1631 0.7466 0.2315
Pd11 Pd 0.1244 0.8781 0.7702
Pd12 Pd 0.7362 0.9830 0.2527
P1 P 0.5657 0.2737 0.9436
P2 P 0.0657 0.2263 0.4436
P3 P 0.9343 0.7737 0.5564
P4 P 0.4343 0.7263 0.0564
Sr1 Sr 0.4278 0.7624 0.5227
Sr2 Sr 0.9278 0.7376 0.0227
Sr3 Sr 0.5722 0.2376 0.4773
Sr4 Sr 0.0722 0.2624 0.9773
# - space-group type = No. 14
# - N(E_F) (states/eV/cell) = 9.0



<two>
# SrPPd3, optimized geometry, DFT PBE-GGA
data_SrPPd3
_chemical_formula_sum 'Sr2 P2 Pd6'
_cell_length_a 4.8486
_cell_length_b 4.8486
_cell_length_c 11.5055
_cell_angle_alpha 77.84
_cell_angle_beta 77.84
_cell_angle_gamma 90.00
_space_group_name_H-M_alt 'P 1'
_space_group_IT_number 1
_space_group_name_Hall 'P 1'
loop_
_atom_site_label
_atom_site_type_symbol
_atom_site_fract_x
_atom_site_fract_y
_atom_site_fract_z
P1 P 0.6060 0.1060 0.7880
P2 P 0.8940 0.3940 0.2120
Sr1 Sr 0.0000 0.0000 0.0000
Sr2 Sr 0.2500 0.7500 0.5000
Pd1 Pd 0.1215 0.8737 0.2525
Pd2 Pd 0.6319 0.6319 0.7362
Pd3 Pd 0.1263 0.3741 0.7475
Pd4 Pd 0.6259 0.8737 0.2525
Pd5 Pd 0.1263 0.8785 0.7475
Pd6 Pd 0.3681 0.3681 0.2638
# - space-group type = No. 119
# - N(E_F) (states/eV/cell) = 5.8



<three>
# SrPPd3, optimized geometry, DFT PBE-GGA
data_SrPPd3
_chemical_formula_sum 'Sr2 P2 Pd6'
_cell_length_a 5.9562
_cell_length_b 5.9562
_cell_length_c 5.9562
_cell_angle_alpha 82.99
_cell_angle_beta 82.99
_cell_angle_gamma 82.99
_space_group_name_H-M_alt 'P 1'
_space_group_IT_number 1
_space_group_name_Hall 'P 1'
loop_
_atom_site_label
_atom_site_type_symbol
_atom_site_fract_x
_atom_site_fract_y
_atom_site_fract_z
Sr1 Sr 0.5000 0.5000 0.5000
Sr2 Sr 0.0000 0.0000 0.0000
Pd1 Pd 0.2500 0.9689 0.5311
Pd2 Pd 0.5311 0.2500 0.9689
Pd3 Pd 0.4689 0.7500 0.0311
Pd4 Pd 0.7500 0.0311 0.4689
Pd5 Pd 0.0311 0.4689 0.7500
Pd6 Pd 0.9689 0.5311 0.2500
P1 P 0.7500 0.7500 0.7500
P2 P 0.2500 0.2500 0.2500
# - space-group type = No. 167
# - N(E_F) (states/eV/cell) = 8.9



<four>
# SrPPd3, optimized geometry, DFT PBE-GGA
data_SrPPd3
_chemical_formula_sum 'Sr2 P2 Pd6'
_cell_length_a 6.5149
_cell_length_b 6.5147
_cell_length_c 6.5788
_cell_angle_alpha 118.46
_cell_angle_beta 121.40
_cell_angle_gamma 89.58
_space_group_name_H-M_alt 'P 1'
_space_group_IT_number 1
_space_group_name_Hall 'P 1'
loop_
_atom_site_label
_atom_site_type_symbol
_atom_site_fract_x
_atom_site_fract_y
_atom_site_fract_z
Pd1 Pd 0.5883 0.3476 0.5540
Pd2 Pd 0.0242 0.7834 0.5540
Pd3 Pd 0.1241 0.4160 0.1525
Pd4 Pd 0.5608 0.4018 0.1449
Pd5 Pd 0.5542 0.8461 0.1525
Pd6 Pd 0.0623 0.7714 0.0159
P1 P 0.2832 0.0817 0.0435
P2 P 0.7796 0.5780 0.0435
Sr1 Sr 0.0853 0.2945 0.5620
Sr2 Sr 0.5887 0.9057 0.6767
# - space-group type = No. 8
# - N(E_F) (states/eV/cell) = 4.3



Least stable = <two>